[1]
Material: SiRu3Rh
Method: DFT, PBE
State: optimized geometry

a b c (Å): 4.630 4.630 4.630
angles (deg): 90.00 90.00 90.00
Positions (direct):
1 Ru 0.500 0.000 0.000
2 Ru 0.000 0.500 0.000
3 Ru 0.000 0.000 0.500
4 Rh 0.000 0.000 0.000
5 Si 0.500 0.500 0.500

Results
The calculation puts the formation energy from raw total energies at 1932 meV per atom. The volume comes out at 19.855 A^3/atom. Its total DFT energy (no corrections) is -30.9 eV for the cell shown.

---

[2]
Material: SiRuRh
Method: DFT, PBE
State: optimized geometry

a b c (Å): 5.269 5.269 2.869
angles (deg): 74.20 74.20 31.60
Positions (direct):
1 Si 0.669 0.669 0.331
2 Rh 0.019 0.019 0.981
3 Ru 0.313 0.313 0.687

Results
The calculation puts the formation energy from raw total energies at -452 meV per atom. The volume comes out at 13.339 A^3/atom. Its total DFT energy (no corrections) is -23.4 eV for the cell shown.

---

[3]
Material: Si2RuRh2
Method: DFT, PBE
State: optimized geometry

a b c (Å): 6.958 6.958 2.772
angles (deg): 90.00 90.00 90.00
Each line ends with the local moment (μB).
Positions (direct):
1 Si 0.346 0.846 0.000  0.00
2 Si 0.154 0.346 0.000  0.00
3 Si 0.846 0.654 0.000  0.00
4 Si 0.654 0.154 0.000  0.00
5 Ru 0.500 0.500 0.000  0.54
6 Ru 0.000 0.000 0.000  0.54
7 Rh 0.855 0.355 0.500  0.03
8 Rh 0.145 0.645 0.500  0.03
9 Rh 0.645 0.855 0.500  0.01
10 Rh 0.355 0.145 0.500  0.01

Results
The calculation puts the formation energy from raw total energies at -533 meV per atom. The volume comes out at 13.423 A^3/atom. Its total DFT energy (no corrections) is -75.0 eV for the cell shown.

---

[4]
Material: SiRuRh2
Method: DFT, PBE
State: optimized geometry

a b c (Å): 8.363 8.363 8.363
angles (deg): 19.15 19.15 19.15
Positions (direct):
1 Rh 0.008 0.008 0.008
2 Rh 0.248 0.248 0.248
3 Si 0.750 0.750 0.750
4 Ru 0.494 0.494 0.494

Results
The calculation puts the formation energy from raw total energies at -224 meV per atom. The volume comes out at 13.751 A^3/atom. Its total DFT energy (no corrections) is -30.3 eV for the cell shown.

---

[5]
Material: SiRuRh2
Method: DFT, PBE
State: optimized geometry

a b c (Å): 2.759 3.732 5.305
angles (deg): 90.00 90.00 90.00
Positions (direct):
1 Rh 0.000 0.000 0.503
2 Rh 0.000 0.000 0.997
3 Si 0.500 0.500 0.750
4 Ru 0.500 0.500 0.250

Results
The calculation puts the formation energy from raw total energies at -209 meV per atom. The volume comes out at 13.656 A^3/atom. Its total DFT energy (no corrections) is -30.2 eV for the cell shown.

---

[6]
Material: Si3RuRh
Method: DFT, PBE
State: optimized geometry

a b c (Å): 4.518 4.518 4.518
angles (deg): 90.00 90.00 90.00
Positions (direct):
1 Si 0.000 0.500 0.000
2 Si 0.000 0.000 0.500
3 Si 0.500 0.000 0.000
4 Rh 0.500 0.500 0.500
5 Ru 0.000 0.000 0.000

Results
The calculation puts the formation energy from raw total energies at 614 meV per atom. The volume comes out at 18.439 A^3/atom. Its total DFT energy (no corrections) is -29.8 eV for the cell shown.

---

[7]
Material: SiRuRh
Method: DFT, PBE
State: optimized geometry

a b c (Å): 3.981 3.981 3.981
angles (deg): 60.00 60.00 60.00
Positions (direct):
1 Rh 0.000 0.000 0.000
2 Ru 0.500 0.500 0.500
3 Si 0.750 0.750 0.750

Results
The calculation puts the formation energy from raw total energies at -394 meV per atom. The volume comes out at 14.866 A^3/atom. Its total DFT energy (no corrections) is -23.2 eV for the cell shown.

---

[8]
Material: SiRuRh3
Method: DFT, PBE
State: optimized geometry

a b c (Å): 4.379 4.379 4.379
angles (deg): 90.00 90.00 90.00
Each line ends with the local moment (μB).
Positions (direct):
1 Rh 0.500 0.000 0.000  0.65
2 Rh 0.000 0.000 0.500  0.50
3 Rh 0.000 0.500 0.000  0.52
4 Ru 0.500 0.500 0.500  2.83
5 Si 0.000 0.000 0.000  0.01

Results
The calculation puts the formation energy from raw total energies at 608 meV per atom. The volume comes out at 16.797 A^3/atom. Its total DFT energy (no corrections) is -33.7 eV for the cell shown.

---

[9]
Material: SiRuRh2
Method: DFT, PBE
State: optimized geometry

a b c (Å): 2.840 4.400 4.412
angles (deg): 90.00 90.00 90.00
Positions (direct):
1 Rh 0.000 0.000 0.000
2 Rh 0.500 0.500 0.000
3 Ru 0.500 0.000 0.500
4 Si 0.000 0.500 0.500

Results
The calculation puts the formation energy from raw total energies at -146 meV per atom. The volume comes out at 13.779 A^3/atom. Its total DFT energy (no corrections) is -30.0 eV for the cell shown.

---

[10]
Material: SiRuRh
Method: DFT, PBE
State: optimized geometry

a b c (Å): 2.790 2.790 6.049
angles (deg): 90.00 90.00 120.00
Positions (direct):
1 Rh 0.000 0.000 0.972
2 Si 0.333 0.667 0.666
3 Ru 0.667 0.333 0.362

Results
The calculation puts the formation energy from raw total energies at -351 meV per atom. The volume comes out at 13.593 A^3/atom. Its total DFT energy (no corrections) is -23.1 eV for the cell shown.

---

[11]
Material: SiRuRh2
Method: DFT, PBE
State: optimized geometry

a b c (Å): 4.502 4.502 2.740
angles (deg): 90.00 90.00 90.00
Positions (direct):
1 Rh 0.000 0.000 0.000
2 Rh 0.500 0.500 0.000
3 Si 0.000 0.500 0.500
4 Ru 0.500 0.000 0.500

Results
The calculation puts the formation energy from raw total energies at -88 meV per atom. The volume comes out at 13.885 A^3/atom. Its total DFT energy (no corrections) is -29.8 eV for the cell shown.

---

[12]
Material: Si2RuRh
Method: DFT, PBE
State: optimized geometry

a b c (Å): 4.585 2.844 4.113
angles (deg): 90.00 90.00 90.00
Positions (direct):
1 Si 0.500 0.375 0.244
2 Si 0.000 0.875 0.007
3 Rh 0.000 0.375 0.503
4 Ru 0.500 0.875 0.746

Results
The calculation puts the formation energy from raw total energies at -539 meV per atom. The volume comes out at 13.411 A^3/atom. Its total DFT energy (no corrections) is -29.6 eV for the cell shown.

---

[13]
Material: SiRuRh2
Method: DFT, PBE
State: optimized geometry

a b c (Å): 3.928 2.785 5.280
angles (deg): 72.40 90.00 90.00
Positions (direct):
1 Ru 0.500 0.250 0.250
2 Rh 0.000 0.613 0.509
3 Rh 0.000 0.887 0.991
4 Si 0.500 0.750 0.750

Results
The calculation puts the formation energy from raw total energies at -273 meV per atom. The volume comes out at 13.761 A^3/atom. Its total DFT energy (no corrections) is -30.5 eV for the cell shown.

---

[14]
Material: Si2RuRh
Method: DFT, PBE
State: optimized geometry

a b c (Å): 2.778 2.778 8.142
angles (deg): 90.00 90.00 116.35
Positions (direct):
1 Si 0.500 0.500 0.251
2 Si 0.000 0.000 0.999
3 Rh 0.000 0.000 0.476
4 Ru 0.500 0.500 0.774

Results
The calculation puts the formation energy from raw total energies at 51 meV per atom. The volume comes out at 14.077 A^3/atom. Its total DFT energy (no corrections) is -27.3 eV for the cell shown.

---

[15]
Material: SmSi2RuRh
Method: DFT, PBE
State: optimized geometry

a b c (Å): 4.149 4.149 5.749
angles (deg): 111.16 111.16 90.00
Positions (direct):
1 Si 0.629 0.629 0.257
2 Si 0.371 0.371 0.743
3 Ru 0.750 0.250 0.500
4 Sm 0.000 0.000 0.000
5 Rh 0.250 0.750 0.500

Results
The calculation puts the formation energy from raw total energies at -1026 meV per atom. The volume comes out at 17.022 A^3/atom. Its total DFT energy (no corrections) is -37.3 eV for the cell shown.

---

[16]
Material: SiSnRuRh2
Method: DFT, PBE
State: optimized geometry

a b c (Å): 4.816 4.888 4.816
angles (deg): 90.00 90.00 90.00
Each line ends with the local moment (μB).
Positions (direct):
1 Sn 0.000 0.000 0.000  0.00
2 Rh 0.000 0.000 0.500  0.24
3 Rh 0.500 0.000 0.000  0.32
4 Si 0.000 0.500 0.000  -0.02
5 Ru 0.500 0.500 0.500  2.50

Results
The calculation puts the formation energy from raw total energies at 1703 meV per atom. The volume comes out at 22.672 A^3/atom. Its total DFT energy (no corrections) is -24.9 eV for the cell shown.

---

[17]
Material: SrSi2RuRh
Method: DFT, PBE
State: optimized geometry

a b c (Å): 4.202 4.202 5.962
angles (deg): 110.63 110.63 90.00
Positions (direct):
1 Si 0.361 0.361 0.722
2 Si 0.639 0.639 0.278
3 Rh 0.250 0.750 0.500
4 Ru 0.750 0.250 0.500
5 Sr 0.000 0.000 0.000

Results
The calculation puts the formation energy from raw total energies at -819 meV per atom. The volume comes out at 18.251 A^3/atom. Its total DFT energy (no corrections) is -33.3 eV for the cell shown.

---

[18]
Material: ThSi2RuRh
Method: DFT, PBE
State: optimized geometry

a b c (Å): 4.167 4.167 5.801
angles (deg): 111.05 111.05 90.00
Positions (direct):
1 Th 0.000 0.000 0.000
2 Si 0.373 0.373 0.746
3 Si 0.627 0.627 0.254
4 Ru 0.250 0.750 0.500
5 Rh 0.750 0.250 0.500

Results
The calculation puts the formation energy from raw total energies at -1032 meV per atom. The volume comes out at 17.353 A^3/atom. Its total DFT energy (no corrections) is -40.1 eV for the cell shown.

---

[19]
Material: Th2Si4RuRh3
Method: DFT, PBE
State: optimized geometry

a b c (Å): 4.211 4.211 9.821
angles (deg): 90.00 90.00 90.00
Positions (direct):
1 Ru 0.500 0.500 0.500
2 Si 0.000 0.500 0.375
3 Si 0.500 0.000 0.625
4 Si 0.500 0.500 0.000
5 Si 0.000 0.000 0.000
6 Rh 0.500 0.000 0.874
7 Rh 0.000 0.000 0.500
8 Rh 0.000 0.500 0.126
9 Th 0.000 0.500 0.754
10 Th 0.500 0.000 0.246

Results
The calculation puts the formation energy from raw total energies at -1042 meV per atom. The volume comes out at 17.412 A^3/atom. Its total DFT energy (no corrections) is -78.3 eV for the cell shown.

---

[20]
Material: TiSiRuRh
Method: DFT, PBE
State: optimized geometry

a b c (Å): 4.268 4.268 4.268
angles (deg): 60.00 60.00 60.00
Positions (direct):
1 Rh 0.500 0.500 0.500
2 Ru 0.000 0.000 0.000
3 Si 0.750 0.750 0.750
4 Ti 0.250 0.250 0.250

Results
The calculation puts the formation energy from raw total energies at -794 meV per atom. The volume comes out at 13.746 A^3/atom. Its total DFT energy (no corrections) is -33.1 eV for the cell shown.